Compound: Br3O4F2
Source: the Alexandria database
Functional: PBE
Structure: relaxed

abc: 7.2626 7.2626 9.0820
angles: 120.21 120.21 70.60
Fractional coordinates of all 18 atoms:
Br 0.0363 0.9637 0.7500
Br 0.2618 0.5428 0.8792
Br 0.4572 0.7382 0.6208
Br 0.5428 0.2618 0.3792
Br 0.7382 0.4572 0.1208
Br 0.9637 0.0363 0.2500
O 0.0632 0.6636 0.7210
O 0.3364 0.9368 0.7790
O 0.3545 0.5078 0.5479
O 0.4922 0.6455 0.9521
O 0.5078 0.3545 0.0479
O 0.6455 0.4922 0.4521
O 0.6636 0.0632 0.2210
O 0.9368 0.3364 0.2790
F 0.0141 0.7533 0.2489
F 0.2467 0.9859 0.2511
F 0.7533 0.0141 0.7489
F 0.9859 0.2467 0.7511

- Energy relative to the elements, uncorrected: -0.1 eV/f.u.
- Space-group type: No. 15
- Density of states at the Fermi level: 1.286 states/eV per cell



Compound: K2BeP
Source: the Alexandria database
Functional: PBE
Structure: relaxed

abc: 11.3708 11.3708 11.3708
angles: 157.44 157.44 32.12
Fractional coordinates of all 8 atoms:
K 0.1237 0.6250 0.9987
K 0.3750 0.3737 0.4987
K 0.6263 0.1250 0.0013
K 0.8750 0.8763 0.5013
Be 0.2500 0.7500 0.5000
Be 0.5000 0.5000 0.0000
P 0.0000 0.0000 0.0000
P 0.7500 0.2500 0.5000

- Polymorph energy (0 for the lowest one): 1094 meV/atom
- Space-group type: No. 122
- Density of states at the Fermi level: 5.098 states/eV per cell
- ΔE_f: 0.85 eV per atom



Compound: LaCeNdSm
Source: the Alexandria database
Functional: PBE
Structure: relaxed

abc: 5.8162 5.8162 5.8162
angles: 60.00 60.00 60.00
Fractional coordinates of all 4 atoms:
La 0.0000 0.0000 0.0000
Ce 0.2500 0.2500 0.2500
Nd 0.5000 0.5000 0.5000
Sm 0.7500 0.7500 0.7500

- Space-group type: No. 216
- Density of states at the Fermi level: 10.941 states/eV per cell
- ΔE_f: 0.20 eV per atom



Compound: LiLa3Ti
Source: the Alexandria database
Functional: PBE
Structure: relaxed

abc: 5.6491 5.6491 5.6491
angles: 90.00 90.00 90.00
Fractional coordinates of all 5 atoms:
Li 0.0000 0.0000 0.0000
La 0.0000 0.5000 0.5000
La 0.5000 0.0000 0.5000
La 0.5000 0.5000 0.0000
Ti 0.5000 0.5000 0.5000

- Polymorph energy (0 for the lowest one): 0 meV/atom
- Space-group type: No. 221
- Density of states at the Fermi level: 8.582 states/eV per cell
- ΔE_f: 0.42 eV per atom



- Which of these has the lowest density of states at the Fermi level?
  Br3O4F2